No. 1
Density functional theory data (PBEsol) for La4Al6O15 after structural relaxation.

Total moment, μB per cell: 0.0
DOS at the Fermi energy, states/eV per atom: 0.000
Calculated volume, Å³ per cell: 668
Raw total energy, eV/f.u.: -203.973
Theoretical density, Mg/m³: 4.76

Lattice parameters (Å, degrees): 4.994 6.885 20.862 92.75 90.00 111.26
Atoms (fractional coordinates):
La 0.627 0.707 0.397
La 0.658 0.730 0.200
La 0.927 0.270 0.300
La 0.073 0.730 0.700
La 0.342 0.270 0.800
La 0.373 0.293 0.603
La 0.920 0.293 0.103
La 0.080 0.707 0.897
O 0.629 0.642 0.639
O 0.012 0.642 0.139
O 0.893 0.000 0.750
O 0.476 0.590 0.949
O 0.896 0.598 0.293
O 0.533 0.855 0.303
O 0.114 0.590 0.449
O 0.298 0.402 0.207
O 0.721 0.160 0.419
O 0.371 0.358 0.361
O 0.524 0.410 0.051
O 0.702 0.598 0.793
O 0.988 0.358 0.861
O 0.561 0.840 0.081
O 0.119 0.934 0.382
O 0.107 0.000 0.250
O 0.104 0.402 0.707
O 0.886 0.410 0.551
O 0.467 0.145 0.697
O 0.185 0.066 0.118
O 0.678 0.145 0.197
O 0.975 0.234 0.989
O 0.025 0.766 0.011
O 0.322 0.855 0.803
O 0.259 0.234 0.489
O 0.279 0.840 0.581
O 0.881 0.066 0.618
O 0.741 0.766 0.511
O 0.439 0.160 0.919
O 0.815 0.934 0.882
Al 0.205 0.834 0.086
Al 0.823 0.161 0.695
Al 0.177 0.839 0.305
Al 0.371 0.166 0.414
Al 0.346 0.324 0.974
Al 0.654 0.676 0.026
Al 0.662 0.839 0.805
Al 0.338 0.161 0.195
Al 0.795 0.166 0.914
Al 0.979 0.324 0.474
Al 0.629 0.834 0.586
Al 0.021 0.676 0.526



No. 2
Density functional theory data (PBEsol) for La2AlO after structural relaxation.

Total moment, μB per cell: 1.0
DOS at the Fermi energy, states/eV per atom: 1.575
Calculated volume, Å³ per cell: 89
Raw total energy, eV/f.u.: -22.181
Theoretical density, Mg/m³: 5.98

Lattice parameters (Å, degrees): 5.014 5.014 5.014 60.00 60.00 60.00
Site moments in Bohr magnetons follow the coordinates.
Atoms (fractional coordinates):
La 0.750 0.750 0.750  0.14
La 0.250 0.250 0.250  0.14
Al 0.500 0.500 0.500  0.08
O 0.000 0.000 0.000  0.13



No. 3
Density functional theory data (PBEsol) for La3AlO after structural relaxation.

Total moment, μB per cell: 0.0
DOS at the Fermi energy, states/eV per atom: 0.433
Calculated volume, Å³ per cell: 123
Raw total energy, eV/f.u.: -32.210
Theoretical density, Mg/m³: 6.22

Lattice parameters (Å, degrees): 4.968 4.968 4.968 90.00 90.00 90.00
Atoms (fractional coordinates):
La 0.500 0.000 0.500
La 0.500 0.500 0.000
La 0.000 0.500 0.500
Al 0.000 0.000 0.000
O 0.500 0.500 0.500



No. 4
Density functional theory data (PBEsol) for La2Al4O9 after structural relaxation.

Total moment, μB per cell: 0.0
DOS at the Fermi energy, states/eV per atom: 0.000
Calculated volume, Å³ per cell: 362
Raw total energy, eV/f.u.: -121.637
Theoretical density, Mg/m³: 4.86

Lattice parameters (Å, degrees): 5.670 7.602 8.395 90.00 90.00 90.00
Atoms (fractional coordinates):
O 0.500 0.000 0.000
O 0.247 0.897 0.282
O 0.753 0.603 0.782
O 0.000 0.844 0.551
O 0.500 0.353 0.927
O 0.500 0.853 0.573
O 0.753 0.397 0.218
O 0.500 0.647 0.073
O 0.247 0.603 0.782
O 0.000 0.156 0.449
O 0.000 0.656 0.051
O 0.000 0.344 0.949
O 0.500 0.147 0.427
O 0.247 0.397 0.218
O 0.247 0.103 0.718
O 0.753 0.897 0.282
O 0.500 0.500 0.500
O 0.753 0.103 0.718
Al 0.500 0.858 0.162
Al 0.258 0.500 0.000
Al 0.258 0.000 0.500
Al 0.742 0.500 0.000
Al 0.500 0.358 0.338
Al 0.500 0.142 0.838
Al 0.500 0.642 0.662
Al 0.742 0.000 0.500
La 0.000 0.649 0.324
La 0.000 0.851 0.824
La 0.000 0.149 0.176
La 0.000 0.351 0.676



No. 5
Density functional theory data (PBEsol) for LaAlPO2 after structural relaxation.

Total moment, μB per cell: 0.0
DOS at the Fermi energy, states/eV per atom: 0.876
Calculated volume, Å³ per cell: 72
Raw total energy, eV/f.u.: -34.715
Theoretical density, Mg/m³: 5.31

Lattice parameters (Å, degrees): 3.938 3.938 4.620 90.00 90.00 90.00
Atoms (fractional coordinates):
Al 0.000 0.000 0.000
O 0.500 0.000 0.000
O 0.000 0.500 0.000
P 0.000 0.000 0.500
La 0.500 0.500 0.500



No. 6
Density functional theory data (PBEsol) for LaAlP2O after structural relaxation.

Total moment, μB per cell: 0.0
DOS at the Fermi energy, states/eV per atom: 1.056
Calculated volume, Å³ per cell: 124
Raw total energy, eV/f.u.: -25.541
Theoretical density, Mg/m³: 3.25

Lattice parameters (Å, degrees): 4.137 5.485 5.485 90.00 90.00 90.00
Atoms (fractional coordinates):
O 0.500 0.000 0.000
P 0.000 0.000 0.500
P 0.000 0.500 0.000
Al 0.500 0.500 0.500
La 0.000 0.000 0.000



No. 7
Density functional theory data (PBEsol) for La2AlRuO after structural relaxation.

Total moment, μB per cell: 0.0
DOS at the Fermi energy, states/eV per atom: 0.682
Calculated volume, Å³ per cell: 110
Raw total energy, eV/f.u.: -30.449
Theoretical density, Mg/m³: 6.38

Lattice parameters (Å, degrees): 3.499 5.600 5.600 90.00 90.00 90.00
Atoms (fractional coordinates):
Al 0.000 0.000 0.000
Ru 0.500 0.500 0.500
La 0.000 0.500 0.000
La 0.000 0.000 0.500
O 0.500 0.000 0.000



No. 8
Density functional theory data (PBEsol) for SrLa2Al2O7 after structural relaxation.

Total moment, μB per cell: 0.0
DOS at the Fermi energy, states/eV per atom: 0.000
Calculated volume, Å³ per cell: 143
Raw total energy, eV/f.u.: -96.892
Theoretical density, Mg/m³: 6.18

Lattice parameters (Å, degrees): 3.746 3.746 10.519 100.26 100.26 90.00
Atoms (fractional coordinates):
O 0.201 0.201 0.402
O 0.100 0.600 0.200
O 0.000 0.000 0.000
O 0.799 0.799 0.598
O 0.900 0.400 0.800
O 0.400 0.900 0.800
O 0.600 0.100 0.200
La 0.319 0.319 0.639
La 0.681 0.681 0.361
Al 0.909 0.909 0.819
Al 0.091 0.091 0.181
Sr 0.500 0.500 0.000



No. 9
Density functional theory data (PBEsol) for SrLaAlO4 after structural relaxation.

Total moment, μB per cell: 0.0
DOS at the Fermi energy, states/eV per atom: 0.000
Calculated volume, Å³ per cell: 88
Raw total energy, eV/f.u.: -54.843
Theoretical density, Mg/m³: 6.02

Lattice parameters (Å, degrees): 3.754 3.754 6.753 106.14 106.14 90.00
Atoms (fractional coordinates):
Al 0.995 0.995 0.990
La 0.642 0.642 0.284
O 0.004 0.504 0.009
O 0.504 0.004 0.009
O 0.161 0.161 0.322
O 0.836 0.836 0.672
Sr 0.358 0.358 0.715



No. 10
Density functional theory data (PBEsol) for Sr6La2Ta3Al5O24 after structural relaxation.

Total moment, μB per cell: 0.0
DOS at the Fermi energy, states/eV per atom: 0.000
Calculated volume, Å³ per cell: 460
Raw total energy, eV/f.u.: -333.333
Theoretical density, Mg/m³: 6.73

Lattice parameters (Å, degrees): 5.455 5.455 18.145 81.35 81.35 60.00
Atoms (fractional coordinates):
O 0.811 0.318 0.059
O 0.309 0.818 0.564
O 0.059 0.569 0.312
O 0.569 0.059 0.312
O 0.941 0.941 0.688
O 0.431 0.941 0.688
O 0.182 0.691 0.436
O 0.682 0.189 0.941
O 0.059 0.059 0.312
O 0.559 0.559 0.817
O 0.691 0.691 0.436
O 0.189 0.682 0.941
O 0.189 0.189 0.941
O 0.811 0.811 0.059
O 0.941 0.431 0.688
O 0.065 0.559 0.817
O 0.818 0.309 0.564
O 0.318 0.811 0.059
O 0.441 0.441 0.183
O 0.935 0.441 0.183
O 0.559 0.065 0.817
O 0.441 0.935 0.183
O 0.309 0.309 0.564
O 0.691 0.182 0.436
Al 0.125 0.125 0.626
Al 0.875 0.875 0.374
Al 0.374 0.374 0.879
Al 0.000 0.000 0.000
Al 0.626 0.626 0.121
Sr 0.060 0.060 0.820
Sr 0.563 0.563 0.311
Sr 0.188 0.188 0.437
Sr 0.812 0.812 0.563
Sr 0.437 0.437 0.689
Sr 0.940 0.940 0.180
La 0.685 0.685 0.944
La 0.315 0.315 0.056
Ta 0.500 0.500 0.500
Ta 0.749 0.749 0.752
Ta 0.251 0.251 0.248



No. 11
Density functional theory data (PBEsol) for Sr3LaTaAl3O12 after structural relaxation.

Total moment, μB per cell: 0.0
DOS at the Fermi energy, states/eV per atom: 0.497
Calculated volume, Å³ per cell: 454
Raw total energy, eV/f.u.: -160.057
Energy relative to the lowest polymorph listed for this composition, meV per atom: 0.0
Theoretical density, Mg/m³: 6.26

Lattice parameters (Å, degrees): 7.676 7.676 7.707 90.00 90.00 90.22
Atoms (fractional coordinates):
Al 0.251 0.251 0.000
Al 0.749 0.749 0.000
Al 0.751 0.751 0.500
Al 0.248 0.752 0.500
Al 0.752 0.248 0.500
Al 0.249 0.249 0.500
O 0.746 0.254 0.256
O 0.257 0.257 0.250
O 0.504 0.744 0.000
O 0.006 0.252 0.000
O 0.744 0.504 0.000
O 0.743 0.743 0.250
O 0.994 0.748 0.000
O 0.746 0.254 0.744
O 0.254 0.746 0.744
O 0.743 0.743 0.750
O 0.000 0.252 0.500
O 0.258 0.501 0.500
O 0.256 0.496 0.000
O 0.748 0.994 0.000
O 0.254 0.746 0.256
O 0.748 0.000 0.500
O 0.742 0.499 0.500
O 0.501 0.258 0.500
O 0.000 0.748 0.500
O 0.252 0.000 0.500
O 0.496 0.256 0.000
O 0.252 0.006 0.000
O 0.257 0.257 0.750
O 0.499 0.742 0.500
Ta 0.247 0.753 0.000
Ta 0.753 0.247 0.000
Sr 0.000 0.000 0.736
Sr 0.000 0.000 0.264
Sr 0.000 0.500 0.263
Sr 0.500 0.000 0.737
Sr 0.000 0.500 0.737
Sr 0.500 0.000 0.263
La 0.500 0.500 0.262
La 0.500 0.500 0.738



No. 12
Density functional theory data (PBEsol) for Sr3LaTaAl3O12 after structural relaxation.

Total moment, μB per cell: 0.0
DOS at the Fermi energy, states/eV per atom: 0.515
Calculated volume, Å³ per cell: 228
Raw total energy, eV/f.u.: -159.783
Energy relative to the lowest polymorph listed for this composition, meV per atom: 13.7
Theoretical density, Mg/m³: 6.23

Lattice parameters (Å, degrees): 3.880 7.668 7.668 89.80 90.00 90.00
Atoms (fractional coordinates):
O 0.500 0.251 0.492
O 0.500 0.002 0.744
O 0.500 0.254 0.005
O 0.000 0.003 0.003
O 0.000 0.494 0.008
O 0.500 0.498 0.750
O 0.000 0.495 0.495
O 0.500 0.492 0.251
O 0.500 0.750 0.498
O 0.500 0.744 0.002
O 0.000 0.008 0.494
O 0.500 0.005 0.254
Al 0.500 0.502 0.502
Al 0.500 0.999 0.499
Al 0.500 0.499 0.999
Sr 0.000 0.262 0.740
Sr 0.000 0.740 0.262
Sr 0.000 0.736 0.736
La 0.000 0.264 0.264
Ta 0.500 0.997 0.997